Entry 1:
Entry from the Alexandria database: a relaxed structure of BiTe2Br4 (PBE).

Output
symmetry: P-1, No. 2
formation energy from raw total energies: -0.48 eV per atom

a b c (Å): 7.621 8.146 9.720
angles (deg): 93.92 97.34 102.13
Fractional positions:
1 Br 0.811 0.986 0.130
2 Br 0.583 0.909 0.673
3 Br 0.189 0.014 0.870
4 Br 0.993 0.241 0.514
5 Br 0.417 0.091 0.327
6 Br 0.518 0.602 0.291
7 Br 0.007 0.759 0.486
8 Br 0.482 0.398 0.709
9 Te 0.777 0.332 0.943
10 Te 0.922 0.638 0.861
11 Te 0.223 0.668 0.057
12 Te 0.078 0.362 0.139
13 Bi 0.282 0.072 0.603
14 Bi 0.718 0.928 0.397



Entry 2:
Entry from the Alexandria database: a relaxed structure of ScCrNi3 (PBE).

Output
excess energy over the best structure of this formula in the dataset: 0.00 eV per formula unit
symmetry: Pm-3m, No. 221

a b c (Å): 4.276 4.276 4.276
angles (deg): 90.00 90.00 90.00
Fractional positions:
1 Ni 0.500 0.000 0.000
2 Ni 0.000 0.500 0.000
3 Ni 0.000 0.000 0.500
4 Cr 0.000 0.000 0.000
5 Sc 0.500 0.500 0.500



Entry 3:
Entry from the Alexandria database: a relaxed structure of Ta2CrPt9 (PBE).

Output
symmetry: P4/mmm, No. 123
uncorrected energy: -7.870 eV per atom

a b c (Å): 3.987 3.987 11.908
angles (deg): 90.00 90.00 90.00
Site moments in Bohr magnetons follow the coordinates.
Fractional positions:
1 Pt 0.000 0.500 0.830  0.04
2 Pt 0.500 0.000 0.500  0.02
3 Pt 0.500 0.000 0.830  0.04
4 Pt 0.500 0.000 0.170  0.04
5 Pt 0.000 0.500 0.500  0.02
6 Pt 0.000 0.500 0.170  0.04
7 Pt 0.500 0.500 0.335  0.02
8 Pt 0.500 0.500 0.665  0.02
9 Pt 0.500 0.500 0.000  -0.01
10 Ta 0.000 0.000 0.326  0.10
11 Ta 0.000 0.000 0.674  0.10
12 Cr 0.000 0.000 0.000  3.40



Entry 4:
Entry from the Alexandria database: a relaxed structure of La3TbCe2S6 (PBE).

Output
symmetry: C2/m, No. 12
formation energy from raw total energies: -2.10 eV per atom

a b c (Å): 7.048 7.048 7.081
angles (deg): 99.58 99.58 120.05
Site moments in Bohr magnetons follow the coordinates.
Fractional positions:
1 Ce 0.666 0.334 0.000  0.64
2 Ce 0.334 0.666 0.000  0.64
3 La 0.500 0.500 0.500  0.01
4 La 0.167 0.833 0.500  0.01
5 La 0.833 0.167 0.500  0.01
6 S 0.079 0.408 0.238  -0.01
7 S 0.249 0.249 0.761  -0.01
8 S 0.592 0.921 0.762  -0.01
9 S 0.751 0.751 0.239  -0.01
10 S 0.408 0.079 0.238  -0.01
11 S 0.921 0.592 0.762  -0.01
12 Tb 0.000 0.000 0.000  0.02



Entry 5:
Entry from the Alexandria database: a relaxed structure of CsUAgS4 (PBE).

Output
symmetry: P2_1/m, No. 11
formation energy from raw total energies: -0.93 eV per atom

a b c (Å): 6.616 6.917 10.506
angles (deg): 90.00 123.31 90.00
Site moments in Bohr magnetons follow the coordinates.
Fractional positions:
1 S 0.404 0.250 0.397  0.02
2 S 0.897 0.011 0.320  0.01
3 S 0.622 0.250 0.800  0.01
4 S 0.378 0.750 0.200  0.01
5 S 0.103 0.511 0.680  0.01
6 S 0.897 0.489 0.320  0.01
7 S 0.103 0.989 0.680  0.01
8 S 0.596 0.750 0.603  0.02
9 Ag 0.798 0.250 0.642  0.01
10 Ag 0.202 0.750 0.358  0.01
11 U 0.217 0.250 0.547  -0.17
12 U 0.783 0.750 0.453  -0.17
13 Cs 0.334 0.250 0.052  0.00
14 Cs 0.666 0.750 0.948  0.00



Entry 6:
Entry from the Alexandria database: a relaxed structure of Ni2MoAu (PBE).

Output
symmetry: Pmmm, No. 47
uncorrected energy: -6.346 eV per atom

a b c (Å): 2.737 3.597 5.653
angles (deg): 90.00 90.00 90.00
Fractional positions:
1 Ni 0.000 0.000 0.524
2 Ni 0.000 0.000 0.976
3 Au 0.500 0.500 0.250
4 Mo 0.500 0.500 0.750



Entry 7:
Entry from the Alexandria database: a relaxed structure of K3Nd3MnS8 (PBE).

Output
symmetry: R-3m, No. 166
formation energy from raw total energies: -1.50 eV per atom

a b c (Å): 8.084 8.086 8.843
angles (deg): 117.23 90.00 119.99
Site moments in Bohr magnetons follow the coordinates.
Fractional positions:
1 K 0.500 0.500 0.000  0.00
2 K 0.000 0.000 0.000  0.00
3 K 0.000 0.500 0.000  0.00
4 Nd 0.500 0.000 0.500  0.01
5 Nd 0.000 0.500 0.500  0.01
6 Nd 0.500 0.500 0.500  0.01
7 S 0.793 0.021 0.314  -0.04
8 S 0.263 0.527 0.290  0.00
9 S 0.737 0.473 0.710  0.00
10 S 0.793 0.586 0.314  -0.04
11 S 0.207 0.414 0.686  -0.04
12 S 0.772 0.979 0.686  -0.04
13 S 0.207 0.979 0.686  -0.04
14 S 0.228 0.021 0.314  -0.04
15 Mn 0.000 0.000 0.500  3.11



Entry 8:
Entry from the Alexandria database: a relaxed structure of HfZr3H4 (PBE).

Output
symmetry: Pmn2_1, No. 31
uncorrected energy: -6.468 eV per atom

a b c (Å): 5.297 5.297 7.258
angles (deg): 90.00 90.00 90.00
Fractional positions:
1 H 0.128 0.372 0.248
2 H 0.117 0.874 0.000
3 H 0.628 0.628 0.252
4 H 0.645 0.119 0.000
5 H 0.617 0.126 0.500
6 H 0.628 0.628 0.748
7 H 0.128 0.372 0.752
8 H 0.145 0.881 0.500
9 Hf 0.507 0.758 0.500
10 Hf 0.007 0.242 0.000
11 Zr 0.991 0.242 0.500
12 Zr 0.000 0.741 0.745
13 Zr 0.500 0.259 0.755
14 Zr 0.000 0.741 0.255
15 Zr 0.491 0.758 0.000
16 Zr 0.500 0.259 0.245



Entry 9:
Entry from the Alexandria database: a relaxed structure of Rb2AlPdF6 (PBE).

Output
excess energy over the best structure of this formula in the dataset: 0.29 eV per formula unit
symmetry: R-3m, No. 166
formation energy from raw total energies: -2.62 eV per atom

a b c (Å): 6.075 6.075 11.152
angles (deg): 74.19 74.19 60.00
Site moments in Bohr magnetons follow the coordinates.
Fractional positions:
1 F 0.176 0.176 0.900  0.02
2 F 0.748 0.176 0.900  0.02
3 F 0.179 0.610 0.600  0.02
4 F 0.610 0.179 0.600  0.02
5 F 0.176 0.748 0.900  0.02
6 F 0.824 0.824 0.100  0.02
7 F 0.252 0.824 0.100  0.02
8 F 0.390 0.821 0.400  0.02
9 F 0.390 0.390 0.400  0.02
10 F 0.610 0.610 0.600  0.02
11 F 0.824 0.252 0.100  0.02
12 F 0.821 0.390 0.400  0.02
13 Al 0.000 0.000 0.000  0.00
14 Al 0.500 0.500 0.500  0.00
15 Rb 0.713 0.713 0.860  0.00
16 Rb 0.287 0.287 0.140  0.00
17 Rb 0.128 0.128 0.615  0.00
18 Rb 0.872 0.872 0.385  0.00
19 Pd 0.594 0.594 0.218  0.85
20 Pd 0.406 0.406 0.782  0.85



Entry 10:
Entry from the Alexandria database: a relaxed structure of ScAsCl3 (PBE).

Output
excess energy over the best structure of this formula in the dataset: 4.14 eV per formula unit
symmetry: Pm-3m, No. 221
formation energy from raw total energies: -0.11 eV per atom

a b c (Å): 5.156 5.156 5.156
angles (deg): 90.00 90.00 90.00
Site moments in Bohr magnetons follow the coordinates.
Fractional positions:
1 Cl 0.000 0.500 0.000  0.00
2 Cl 0.000 0.000 0.500  0.00
3 Cl 0.500 0.000 0.000  0.00
4 As 0.000 0.000 0.000  -0.03
5 Sc 0.500 0.500 0.500  1.19



Entry 11:
Entry from the Alexandria database: a relaxed structure of HfSnAs (PBE).

Output
symmetry: P4/nmm, No. 129
uncorrected energy: -6.624 eV per atom

a b c (Å): 3.936 3.936 8.399
angles (deg): 90.00 90.00 90.00
Fractional positions:
1 As 0.500 0.000 0.624
2 As 0.000 0.500 0.376
3 Sn 0.500 0.500 0.000
4 Sn 0.000 0.000 0.000
5 Hf 0.000 0.500 0.708
6 Hf 0.500 0.000 0.292



Entry 12:
Entry from the Alexandria database: a relaxed structure of CaTmSc2S4 (PBE).

Output
symmetry: P2/m, No. 10
formation energy from raw total energies: -1.93 eV per atom

a b c (Å): 3.788 6.593 6.594
angles (deg): 70.85 90.00 90.00
Fractional positions:
1 S 0.500 0.235 0.759
2 S 0.000 0.761 0.749
3 S 0.000 0.239 0.251
4 S 0.500 0.765 0.241
5 Sc 0.500 0.000 0.500
6 Sc 0.000 0.000 0.000
7 Ca 0.000 0.500 0.500
8 Tm 0.500 0.500 0.000



no.,total moment (μB/cell)
1,0.000
2,0.000
3,4.120
4,1.556
5,0.167
6,0.001
7,2.963
8,0.000
9,2.000
10,1.545
11,0.000
12,0.000